1.
{
  "formula": "SmY4Er15",
  "functional": "GGA-PBE",
  "state": "optimized geometry",
  "e_form_ev_per_atom": 0.02,
  "rho_g_cm3": 8.08,
  "dos_at_fermi_per_ev_cell": 26.916,
  "lattice_angstrom": [[-0.848, -4.231, 2.498], [1.045, -2.632, -4.103], [24.007, -0.870, 6.675]],
  "species": ["Er", "Er", "Er", "Er", "Er", "Er", "Er", "Er", "Er", "Er", "Er", "Er", "Er", "Er", "Er", "Y", "Y", "Y", "Y", "Sm"],
  "fractional_positions": [[0.000, 0.500, 0.500], [0.500, 0.500, 0.200], [0.500, 0.500, 0.400], [0.500, 0.500, 0.000], [0.500, 0.000, 0.900], [0.500, 0.000, 0.100], [0.500, 0.000, 0.500], [0.500, 0.000, 0.700], [0.000, 0.500, 0.700], [0.500, 0.000, 0.300], [0.000, 0.500, 0.300], [0.500, 0.500, 0.800], [0.500, 0.500, 0.600], [0.000, 0.500, 0.900], [0.000, 0.500, 0.100], [0.000, 0.000, 0.400], [0.000, 0.000, 0.600], [0.000, 0.000, 0.200], [0.000, 0.000, 0.800], [0.000, 0.000, 0.000]]
}

2.
{
  "formula": "KBaSb2",
  "functional": "GGA-PBE",
  "state": "optimized geometry",
  "raw_formation_energy_ev_per_fu": -2.56,
  "de_polymorph_mev_per_atom": 9,
  "rho_g_cm3": 4.30,
  "dos_at_fermi_per_ev_cell": 1.579,
  "lattice_angstrom": [[-4.761, -0.578, 0.792], [0.894, -2.506, 3.546], [0.883, 3.605, 7.937]],
  "species": ["K", "Ba", "Sb", "Sb"],
  "fractional_positions": [[0.500, 0.750, 0.750], [0.500, 0.250, 0.250], [0.000, 0.942, 0.060], [0.000, 0.558, 0.440]]
}